The following is a DFT calculation (PBE) of an optimized crystal structure of Ac2SbF8.

Unit cell a=8.0641 b=8.0641 c=6.2072 alpha=112.20 beta=112.20 gamma=29.35
Closest atoms and distances in Å follow each position.
Atoms (fractional coordinates):
Ac  0.1736  0.1736  0.1731  9 F 2.48-2.77
Ac  0.8264  0.8264  0.8269  9 F 2.48-2.77
Sb  0.3984  0.6016  0.5000  2 F 2.10
F  0.0426  0.0068  0.7437  1 Sb 2.10
F  0.2182  0.2189  0.6024  3 Ac 2.48-2.67, 1 F 2.73
F  0.3182  0.3137  0.0751  3 Ac 2.52-2.61, 4 F 2.73-2.79
F  0.4138  0.4103  0.7824  2 Ac 2.51-2.52, 1 Sb 2.65, 3 F 2.72-2.78
F  0.5897  0.5862  0.2176  2 Ac 2.51-2.52, 1 Sb 2.65, 3 F 2.72-2.78
F  0.6862  0.6818  0.9249  3 Ac 2.52-2.61, 4 F 2.73-2.79
F  0.7811  0.7818  0.3976  3 Ac 2.48-2.67, 1 F 2.73
F  0.9932  0.9574  0.2563  1 Sb 2.10

Values from the calculation:
- VASP energy: -5.9573 eV/atom
- Volume: 182 Å³/f.u.
- Uncorrected formation energy: -38.22 eV/f.u.

The following is a DFT calculation (PBE) of an optimized crystal structure of La7HoEr4.

Unit cell a=6.3388 b=7.2596 c=9.6240 alpha=100.72 beta=108.51 gamma=90.29
Closest atoms and distances in Å follow each position.
Atoms (fractional coordinates):
La  0.0000  0.0000  0.0000  2 Ho 3.63, 6 La 3.64-3.68, 4 Er 3.66
La  0.1665  0.4162  0.6649  6 Er 3.62-3.67, 5 La 3.64-3.67, 1 Ho 3.65
La  0.3324  0.8342  0.3338  6 Er 3.61-3.66, 5 La 3.64-3.67, 1 Ho 3.66
La  0.4982  0.2519  0.0006  7 La 3.60-3.68, 3 Er 3.62-3.68, 2 Ho 3.64-3.65
La  0.5018  0.7481  0.9994  7 La 3.60-3.68, 3 Er 3.62-3.68, 2 Ho 3.64-3.65
La  0.6676  0.1658  0.6662  6 Er 3.61-3.66, 5 La 3.64-3.67, 1 Ho 3.66
La  0.8335  0.5838  0.3351  6 Er 3.62-3.67, 5 La 3.64-3.67, 1 Ho 3.65
Ho  0.0000  0.5000  0.0000  10 La 3.63-3.66, 2 Er 3.66
Er  0.1668  0.9146  0.6644  9 La 3.61-3.68, 3 Er 3.64-3.66
Er  0.3353  0.3337  0.3336  8 La 3.62-3.67, 3 Er 3.64-3.66, 1 Ho 3.66
Er  0.6647  0.6663  0.6664  8 La 3.62-3.67, 3 Er 3.64-3.66, 1 Ho 3.66
Er  0.8332  0.0854  0.3356  9 La 3.61-3.68, 3 Er 3.64-3.66

Values from the calculation:
- VASP energy: -4.7391 eV/atom
- Volume: 412 Å³/f.u.
- Energy of formation from the pure elements: 38 meV/atom
- DOS(E_F): 21.8 states/eV per cell

The following is a DFT calculation (PBE) of an optimized crystal structure of Ac2YPb2.

Unit cell a=8.6685 b=8.6685 c=8.6685 alpha=121.83 beta=78.31 gamma=132.47
Closest atoms and distances in Å follow each position.
Atoms (fractional coordinates):
Ac  0.1478  0.1544  0.3022  5 Pb 3.36-3.61
Ac  0.3522  0.6544  0.0066  5 Pb 3.36-3.61
Ac  0.6478  0.3456  0.9934  5 Pb 3.36-3.61
Ac  0.8522  0.8456  0.6978  5 Pb 3.36-3.61
Y  0.2500  0.7500  0.5000  4 Pb 3.13, 2 Y 3.49
Y  0.7500  0.2500  0.5000  4 Pb 3.13, 2 Y 3.49
Pb  0.1099  0.7540  0.8638  2 Y 3.13, 2 Ac 3.36-3.41
Pb  0.3901  0.2540  0.6441  2 Y 3.13, 2 Ac 3.36-3.41
Pb  0.6099  0.7460  0.3559  2 Y 3.13, 2 Ac 3.36-3.41
Pb  0.8901  0.2460  0.1362  2 Y 3.13, 2 Ac 3.36-3.41

Values from the calculation:
- VASP energy: -4.8111 eV/atom
- Volume: 198 Å³/f.u.
- Energy of formation from the pure elements: -392 meV/atom
- DOS(E_F): 8.0 states/eV per cell